# 1
Density functional theory data (PBE) for a relaxed Sn3PtSe crystal. Values from VASP.

## Properties
The value obtained for the theoretical density is 7.29 g cm⁻³. The polymorph energy (0 for the lowest one) is 0 meV per atom. Its energy relative to the elements, uncorrected is -0.019 eV/atom. The total DFT energy (no corrections) comes out at -4.33 eV/atom.

Structure (Quantum ESPRESSO input):
```
&SYSTEM
  ibrav = 0, nat = 5, ntyp = 3
/
ATOMIC_SPECIES
Se 78.96 Se.upf
Sn 118.71 Sn.upf
Pt 195.08 Pt.upf
CELL_PARAMETERS angstrom
-4.0648 -2.5137 2.1381
1.7411 -4.5153 -1.9984
2.8033 -0.8404 4.3414
ATOMIC_POSITIONS crystal
Se 0.5000 0.5000 0.5000
Sn 0.0000 0.5000 0.0000
Sn 0.0000 0.0000 0.5000
Sn 0.5000 0.0000 0.0000
Pt 0.0000 0.0000 0.0000
```

# 2
Density functional theory data (PBE) for a relaxed Sn3PtSe crystal. Values from VASP.

## Properties
The value obtained for the theoretical density is 6.66 g cm⁻³. The polymorph energy (0 for the lowest one) is 775 meV per atom. Its energy relative to the elements, uncorrected is 0.756 eV/atom. The total DFT energy (no corrections) comes out at -3.55 eV/atom.

Structure (Quantum ESPRESSO input):
```
&SYSTEM
  ibrav = 0, nat = 5, ntyp = 3
/
ATOMIC_SPECIES
Se 78.96 Se.upf
Sn 118.71 Sn.upf
Pt 195.08 Pt.upf
CELL_PARAMETERS angstrom
5.3963 0.0000 0.0000
0.0000 5.3963 0.0000
0.0000 0.0000 5.3963
ATOMIC_POSITIONS crystal
Se 0.0000 0.0000 0.0000
Sn 0.0000 0.5000 0.0000
Sn 0.0000 0.0000 0.5000
Sn 0.5000 0.0000 0.0000
Pt 0.5000 0.5000 0.5000
```

# 3
Density functional theory data (PBE) for a relaxed SnPtSe3 crystal. Values from VASP.

## Properties
The value obtained for the theoretical density is 7.27 g cm⁻³. The polymorph energy (0 for the lowest one) is 450 meV per atom. Its energy relative to the elements, uncorrected is 0.166 eV/atom. The total DFT energy (no corrections) comes out at -3.93 eV/atom.

Structure (Quantum ESPRESSO input):
```
&SYSTEM
  ibrav = 0, nat = 5, ntyp = 3
/
ATOMIC_SPECIES
Se 78.96 Se.upf
Sn 118.71 Sn.upf
Pt 195.08 Pt.upf
CELL_PARAMETERS angstrom
5.0111 0.0000 0.0000
0.0000 5.0111 0.0000
0.0000 0.0000 5.0111
ATOMIC_POSITIONS crystal
Se 0.0000 0.5000 0.0000
Se 0.0000 0.0000 0.5000
Se 0.5000 0.0000 0.0000
Sn 0.5000 0.5000 0.5000
Pt 0.0000 0.0000 0.0000
```